A geometry-optimized AgPb2Br structure, computed with PBE-GGA.

## Properties
relative energy among the computed polymorphs: 154 meV/atom
ρ: 8.684 Mg/m³
ΔE_f (raw): 0.019 eV per atom
density of states at the Fermi level: 0.196 states/eV per atom
uncorrected energy: -23.73 eV per cell

abc: 4.416 4.416 11.811
angles: 90.00 90.00 90.00
Space group I-4m2 (No. 119)
One atom of each set of equivalent atoms:
1 Ag 0.000 0.000 0.000 x2
2 Pb 0.000 0.000 0.500 x2
3 Pb 0.000 0.500 0.250 x2
4 Br 0.000 0.500 0.750 x2

A geometry-optimized CaU5Se6 structure, computed with PBE-GGA.

## Properties
ρ: 9.811 Mg/m³
ΔE_f (raw): -1.107 eV per atom
density of states at the Fermi level: 2.457 states/eV per atom
uncorrected energy: -185.27 eV per cell

abc: 7.081 12.329 7.025
angles: 90.00 109.87 90.00
Space group C2/m (No. 12)
One atom of each set of equivalent atoms:
1 Ca 0.000 0.000 0.000 x2
2 U 0.000 0.168 0.500 x4
3 U 0.000 0.334 0.000 x4
4 U 0.000 0.500 0.500 x2
5 Se 0.248 0.000 0.749 x4
6 Se 0.248 0.166 0.248 x8

A geometry-optimized Sm2Tm2Pb structure, computed with PBE-GGA.

## Properties
formation energy: 0.290 eV/atom
ρ: 8.535 Mg/m³
density of states at the Fermi level: 1.220 states/eV per atom
uncorrected energy: -41.28 eV per cell

abc: 4.403 4.403 16.975
angles: 90.00 90.00 90.00
Space group I4/mmm (No. 139)
One atom of each set of equivalent atoms:
1 Sm 0.000 0.500 0.250 x4
2 Tm 0.000 0.000 0.088 x4
3 Pb 0.000 0.000 0.500 x2